Record 1
A plane-wave DFT calculation with PBE-GGA was carried out for an optimized crystal structure of Sr2CaPN.

Output
Uncorrected formation energy   -0.69 eV/atom
Symmetry   Cmcm (63)
Final energy   -4.506 eV/atom
Excess energy over the best structure of this formula in the dataset   0.834 eV per formula unit
Total moment   0.000 μB/atom

Cell lengths 4.150, 8.514, 7.755 Å; angles 90.00, 90.00, 104.11 degrees
Sites, in units of the cell vectors:
1 N 0.000 0.000 0.500
2 N 0.000 0.000 0.000
3 Ca 0.515 0.030 0.750
4 Ca 0.485 0.970 0.250
5 Sr 0.151 0.302 0.001
6 Sr 0.849 0.698 0.999
7 Sr 0.849 0.698 0.501
8 Sr 0.151 0.302 0.499
9 P 0.300 0.601 0.250
10 P 0.700 0.399 0.750

Record 2
A plane-wave DFT calculation with PBE-GGA was carried out for an optimized crystal structure of Sr4CaIn.

Output
Symmetry   P4/mmm (123)
Final energy   -2.047 eV/atom
E_form   -3.1 kcal/mol of atoms
Excess energy over the best structure of this formula in the dataset   0.000 eV per formula unit
Total moment   0.000 μB/atom

Cell lengths 4.131, 4.131, 16.059 Å; angles 90.00, 90.00, 90.00 degrees
Sites, in units of the cell vectors:
1 In 0.000 0.000 0.000
2 Ca 0.500 0.500 0.500
3 Sr 0.500 0.500 0.123
4 Sr 0.000 0.000 0.677
5 Sr 0.500 0.500 0.877
6 Sr 0.000 0.000 0.323

Record 3
A plane-wave DFT calculation with PBE-GGA was carried out for an optimized crystal structure of LaHf3F.

Output
Uncorrected formation energy   1.50 eV/atom
Symmetry   Pm-3m (221)
Final energy   -5.834 eV/atom
Excess energy over the best structure of this formula in the dataset   9.275 eV per formula unit
Total moment   0.000 μB/atom

Cell lengths 5.270, 5.270, 5.270 Å; angles 90.00, 90.00, 90.00 degrees
Sites, in units of the cell vectors:
1 Hf 0.000 0.000 0.500
2 Hf 0.500 0.000 0.000
3 Hf 0.000 0.500 0.000
4 La 0.000 0.000 0.000
5 F 0.500 0.500 0.500

Record 4
A plane-wave DFT calculation with PBE-GGA was carried out for an optimized crystal structure of HfBeAg.

Output
Symmetry   Cmcm (63)
Final energy   -5.663 eV/atom
E_form   -3.5 kcal/mol of atoms
Excess energy over the best structure of this formula in the dataset   0.000 eV per formula unit
Total moment   0.000 μB/atom

Cell lengths 3.688, 3.323, 7.932 Å; angles 77.91, 90.00, 90.00 degrees
Sites, in units of the cell vectors:
1 Hf 0.750 0.096 0.808
2 Hf 0.250 0.904 0.192
3 Be 0.750 0.464 0.071
4 Be 0.250 0.536 0.929
5 Ag 0.250 0.702 0.596
6 Ag 0.750 0.298 0.404